The following is a GGA+U calculation of a relaxed NiRhS2O8 crystal, from Alexandria.

Output
**N(E_F)**: 3.8 states/eV per cell
**Magnetic moment**: 3.00 μB per cell
**Energy**: -5.74 eV per atom

abc: 5.1816 5.1816 6.1710
angles: 90.00 90.00 120.00
Site moments in Bohr magnetons follow the coordinates.
Fractional coordinates of all 12 atoms:
Ni 0.0000 0.0000 0.5000  1.81
Rh 0.0000 0.0000 0.0000  0.85
S 0.6667 0.3333 0.3285  0.01
S 0.3333 0.6667 0.6715  0.01
O 0.8268 0.1732 0.2504  0.04
O 0.8268 0.6536 0.2504  0.04
O 0.3464 0.1732 0.2504  0.04
O 0.6536 0.8268 0.7496  0.04
O 0.3333 0.6667 0.4382  0.01
O 0.6667 0.3333 0.5618  0.01
O 0.1732 0.8268 0.7496  0.04
O 0.1732 0.3464 0.7496  0.04